Entry from Alexandria: a relaxed structure of HfTa3C2 (GGA-PBE).

Computed properties:
- Density of states at the Fermi level: 7.6 states/eV/cell
- Energy of formation from the pure elements: -598 meV per atom
- SG: P-3m1 (164)

a b c (Å): 5.0497 6.3176 6.3176
angles (deg): 120.00 90.00 90.00
Sites, in units of the cell vectors:
Hf1 0.2702 0.3333 0.6667
C1 0.0000 0.5000 0.0000
Ta1 0.7562 0.6674 0.8337
Ta2 0.2438 0.8337 0.6674
C2 0.0000 0.5000 0.5000
Ta3 0.2438 0.8337 0.1663
Ta4 0.7562 0.1663 0.3326
C3 0.0000 0.0000 0.0000
C4 0.0000 0.0000 0.5000
Ta5 0.7562 0.1663 0.8337
Ta6 0.2438 0.3326 0.1663
Hf2 0.7298 0.6667 0.3333

***

Entry from Alexandria: a relaxed structure of Cs2TlIn2Au (GGA-PBE).

Computed properties:
- Density of states at the Fermi level: 8.2 states/eV/cell
- Energy of formation from the pure elements: -154 meV per atom
- SG: Ibam (72)

a b c (Å): 7.8176 7.4861 10.0792
angles (deg): 111.80 112.82 90.00
Sites, in units of the cell vectors:
In1 0.2101 0.9244 0.8487
Cs1 0.5815 0.8298 0.6595
In2 0.6386 0.4244 0.8487
In3 0.3614 0.5756 0.1513
Tl1 0.0000 0.7500 0.0000
Au1 0.5000 0.2500 0.0000
Cs2 0.9220 0.6702 0.3405
Cs3 0.4185 0.1702 0.3405
Au2 0.5000 0.7500 0.0000
Tl2 0.0000 0.2500 0.0000
Cs4 0.0780 0.3298 0.6595
In4 0.7899 0.0756 0.1513

***

Entry from Alexandria: a relaxed structure of KTl6Pt (GGA-PBE).

Computed properties:
- Density of states at the Fermi level: 3.4 states/eV/cell
- Energy of formation from the pure elements: -54 meV per atom
- SG: P4/mmm (123)

a b c (Å): 4.9041 4.9041 10.4697
angles (deg): 90.00 90.00 90.00
Sites, in units of the cell vectors:
Tl1 0.5000 0.0000 0.3447
Tl2 0.5000 0.0000 0.6553
Pt1 0.0000 0.0000 0.5000
Tl3 0.0000 0.5000 0.3447
Tl4 0.0000 0.5000 0.6553
K1 0.0000 0.0000 0.0000
Tl5 0.5000 0.5000 0.8537
Tl6 0.5000 0.5000 0.1463

***

Entry from Alexandria: a relaxed structure of Pu2H2Pb (GGA-PBE).

Computed properties:
- Density of states at the Fermi level: 13.5 states/eV/cell
- Energy above the most stable polymorph in this dataset: 398 meV/atom
- SG: C2/c (15)

a b c (Å): 3.5190 6.9621 7.1293
angles (deg): 108.88 104.29 90.00
Site moments in Bohr magnetons follow the coordinates.
Sites, in units of the cell vectors:
H1 0.5745 0.9823 0.6477  0.00
H2 0.9268 0.5177 0.3523  0.00
Pu1 0.5577 0.2814 0.6165  0.55
Pb1 0.2491 0.2500 0.0000  0.01
Pb2 0.7509 0.7500 0.0000  0.01
H3 0.0732 0.4823 0.6477  0.00
Pu2 0.4423 0.7186 0.3835  0.55
Pu3 0.9412 0.2186 0.3835  0.55
Pu4 0.0588 0.7814 0.6165  0.55
H4 0.4255 0.0177 0.3523  0.00

***

Entry from Alexandria: a relaxed structure of Sm2SeS2 (GGA-PBE).

Computed properties:
- Uncorrected formation energy: -1.943 eV/atom
- Energy above the most stable polymorph in this dataset: 57 meV/atom
- SG: Cmc2_1 (36)

a b c (Å): 3.9557 7.4240 8.3833
angles (deg): 90.00 103.65 90.00
Sites, in units of the cell vectors:
Sm1 0.4567 0.4612 0.9134
Sm2 0.2086 0.3535 0.4172
Se1 0.3656 0.0948 0.7312
Sm3 0.5433 0.9612 0.0866
S1 0.0371 0.2520 0.0742
S2 0.9629 0.7520 0.9258
Se2 0.6344 0.5948 0.2688
Sm4 0.7914 0.8535 0.5828
S3 0.1771 0.9728 0.3543
S4 0.8229 0.4728 0.6457

***

Entry from Alexandria: a relaxed structure of SmHoHgPb (GGA-PBE).

Computed properties:
- Density of states at the Fermi level: 4.9 states/eV/cell
- Energy of formation from the pure elements: -462 meV per atom
- SG: F-43m (216)

a b c (Å): 5.3788 5.3788 5.3788
angles (deg): 60.00 60.00 60.00
Sites, in units of the cell vectors:
Pb1 0.2500 0.2500 0.2500
Ho1 0.0000 0.0000 0.0000
Sm1 0.5000 0.5000 0.5000
Hg1 0.7500 0.7500 0.7500

***

Entry from Alexandria: a relaxed structure of Cs6Hg2ClO (GGA-PBE).

Computed properties:
- Density of states at the Fermi level: 15.5 states/eV/cell
- Uncorrected formation energy: -0.732 eV/atom
- SG: R-3m (166)

a b c (Å): 8.9659 8.9659 16.4152
angles (deg): 74.15 74.15 60.00
Sites, in units of the cell vectors:
Cs1 0.6173 0.1563 0.6090
Hg1 0.1265 0.1265 0.6205
Cs2 0.1894 0.1894 0.8894
Cs3 0.8437 0.3827 0.3910
Hg2 0.7013 0.7013 0.8961
Cs4 0.3827 0.3827 0.3910
Cs5 0.1563 0.6173 0.6090
Cs6 0.6173 0.6173 0.6090
Cs7 0.7317 0.1894 0.8894
Cs8 0.3827 0.8437 0.3910
Cs9 0.8106 0.2683 0.1106
Hg3 0.8735 0.8735 0.3795
Cs10 0.1894 0.7317 0.8894
O1 0.0000 0.0000 0.0000
Cs11 0.8106 0.8106 0.1106
O2 0.5000 0.5000 0.5000
Cl1 0.5877 0.5877 0.2368
Hg4 0.2987 0.2987 0.1039
Cs12 0.2683 0.8106 0.1106
Cl2 0.4123 0.4123 0.7632

***

Entry from Alexandria: a relaxed structure of Ba8Ca2Mg (GGA-PBE).

Computed properties:
- Density of states at the Fermi level: 15.5 states/eV/cell
- Energy of formation from the pure elements: 19 meV per atom
- SG: C2/m (12)

a b c (Å): 6.6169 8.3581 11.5074
angles (deg): 94.79 106.71 90.00
Sites, in units of the cell vectors:
Ba1 0.9675 0.2330 0.9350
Ba2 0.5883 0.4105 0.1766
Ba3 0.4117 0.5895 0.8234
Ba4 0.7788 0.3593 0.5577
Ca1 0.1526 0.1767 0.3052
Ba5 0.0325 0.7670 0.0650
Ca2 0.8474 0.8233 0.6948
Ba6 0.2212 0.6407 0.4423
Mg1 0.5000 0.0000 0.0000
Ba7 0.3336 0.0831 0.6671
Ba8 0.6664 0.9169 0.3329

***

no.,final energy (eV/atom),V (Å³ per cell)
1,-11.258,174.55
2,-2.292,497.63
3,-2.721,251.80
4,-7.724,159.54
5,-6.178,239.24
6,-3.788,110.04
7,-1.985,1084.47
8,-1.888,607.22